DFT (PBE) results for LaNdSi2 after structural relaxation.

raw formation energy	-0.745	eV/atom
excess energy over the best structure of this formula in the dataset	3	meV per atom
crystal system	orthorhombic
D(E_F)	7.4	states/eV per cell

Unit cell a=3.962 b=4.524 c=11.120 alpha=90.00 beta=90.00 gamma=90.00
Space group Amm2 (No. 38)
Asymmetric unit:
La 0.000 0.000 0.000 x2
Nd 0.500 0.000 0.281 x2
Si 0.000 0.000 0.713 x2
Si 0.500 0.000 0.573 x2